# 1
DFT (PBE) results for a relaxed structure of Pm2PrGd.

Cell: 5.158 5.158 5.169 Å, 90.00 90.00 90.00°
Atoms (fractional coordinates):
Pm  0.000  0.500  0.000
Pm  0.500  0.000  0.000
Pr  0.000  0.000  0.500
Gd  0.500  0.500  0.500

## Properties
Calculated density: 7.1 Mg/m³
E_form: 0.011 eV per atom
Size of the total moment: 7.32 μB/f.u.
Energy: -28.3 eV per formula unit
Fermi-level density of states: 6.56 states/eV/cell

=====

# 2
DFT (PBE) results for a relaxed structure of PmPrGd2.

Cell: 5.771 5.771 5.771 Å, 60.00 60.00 60.00°
Atoms (fractional coordinates):
Pm  0.000  0.000  0.000
Pr  0.500  0.500  0.500
Gd  0.250  0.250  0.250
Gd  0.750  0.750  0.750

## Properties
Calculated density: 7.3 Mg/m³
E_form: 0.091 eV per atom
Size of the total moment: 16.21 μB/f.u.
Energy: -37.3 eV per formula unit
Fermi-level density of states: 7.32 states/eV/cell

=====

# 3
DFT (PBE) results for a relaxed structure of PmPrGd2.

Cell: 12.735 12.735 12.735 Å, 16.03 16.03 16.03°
Atoms (fractional coordinates):
Pm  0.000  0.000  0.000
Pr  0.500  0.500  0.500
Gd  0.410  0.410  0.410
Gd  0.590  0.590  0.590

## Properties
Calculated density: 7.3 Mg/m³
E_form: 0.143 eV per atom
Size of the total moment: 15.40 μB/f.u.
Energy: -37.1 eV per formula unit
Fermi-level density of states: 5.11 states/eV/cell

=====

# 4
DFT (PBE) results for a relaxed structure of PmPrGdRu.

Cell: 5.259 5.259 5.259 Å, 60.00 60.00 60.00°
Atoms (fractional coordinates):
Pm  0.000  0.000  0.000
Pr  0.500  0.500  0.500
Gd  0.750  0.750  0.750
Ru  0.250  0.250  0.250

## Properties
Calculated density: 8.8 Mg/m³
E_form: 0.174 eV per atom
Size of the total moment: 7.92 μB/f.u.
Energy: -32.2 eV per formula unit
Fermi-level density of states: 7.29 states/eV/cell

=====

# 5
DFT (PBE) results for a relaxed structure of TbPmPrGd.

Cell: 5.773 5.773 5.773 Å, 60.00 60.00 60.00°
Atoms (fractional coordinates):
Tb  0.000  0.000  0.000
Pm  0.750  0.750  0.750
Pr  0.250  0.250  0.250
Gd  0.500  0.500  0.500

## Properties
Calculated density: 7.4 Mg/m³
E_form: 0.114 eV per atom
Size of the total moment: 8.37 μB/f.u.
Energy: -27.8 eV per formula unit
Fermi-level density of states: 8.74 states/eV/cell

=====

# 6
DFT (PBE) results for a relaxed structure of PmPrGdTl.

Cell: 5.590 5.590 5.590 Å, 60.00 60.00 60.00°
Atoms (fractional coordinates):
Pm  0.000  0.000  0.000
Pr  0.500  0.500  0.500
Gd  0.750  0.750  0.750
Tl  0.250  0.250  0.250

## Properties
Calculated density: 8.7 Mg/m³
E_form: -0.097 eV per atom
Size of the total moment: 8.43 μB/f.u.
Energy: -26.4 eV per formula unit
Fermi-level density of states: 5.87 states/eV/cell

=====

# 7
DFT (PBE) results for a relaxed structure of PmPrGdY.

Cell: 5.778 5.778 5.778 Å, 60.00 60.00 60.00°
Atoms (fractional coordinates):
Pm  0.000  0.000  0.000
Pr  0.500  0.500  0.500
Gd  0.250  0.250  0.250
Y  0.750  0.750  0.750

## Properties
Calculated density: 6.5 Mg/m³
E_form: 0.106 eV per atom
Size of the total moment: 8.07 μB/f.u.
Energy: -29.7 eV per formula unit
Fermi-level density of states: 8.56 states/eV/cell

=====

# 8
DFT (PBE) results for a relaxed structure of PmGdPt2.

Cell: 5.055 5.055 3.519 Å, 90.00 90.00 90.00°
Atoms (fractional coordinates):
Pm  0.000  0.000  0.000
Gd  0.500  0.500  0.000
Pt  0.000  0.500  0.500
Pt  0.500  0.000  0.500

## Properties
Calculated density: 12.8 Mg/m³
E_form: -1.118 eV per atom
Size of the total moment: 7.13 μB/f.u.
Energy: -35.4 eV per formula unit
Fermi-level density of states: 3.00 states/eV/cell

=====

# 9
DFT (PBE) results for a relaxed structure of PmGd3Pt.

Cell: 5.541 5.541 5.541 Å, 90.00 90.00 90.00°
Atoms (fractional coordinates):
Pm  0.000  0.000  0.000
Gd  0.000  0.500  0.500
Gd  0.500  0.000  0.500
Gd  0.500  0.500  0.000
Pt  0.500  0.500  0.500

## Properties
Calculated density: 7.9 Mg/m³
E_form: -0.339 eV per atom
Size of the total moment: 22.66 μB/f.u.
Energy: -54.7 eV per formula unit
Fermi-level density of states: 9.66 states/eV/cell

=====

# 10
DFT (PBE) results for a relaxed structure of Pm2GdPt.

Cell: 3.666 3.666 8.522 Å, 90.00 90.00 90.00°
Atoms (fractional coordinates):
Pm  0.000  0.000  0.196
Pm  0.000  0.000  0.804
Gd  0.500  0.500  0.500
Pt  0.500  0.500  0.000

## Properties
Calculated density: 9.3 Mg/m³
E_form: -0.508 eV per atom
Size of the total moment: 8.48 μB/f.u.
Energy: -31.7 eV per formula unit
Fermi-level density of states: 5.71 states/eV/cell

=====

# 11
DFT (PBE) results for a relaxed structure of PmGdPt2.

Cell: 5.031 5.031 5.031 Å, 60.00 60.00 60.00°
Atoms (fractional coordinates):
Pm  0.000  0.000  0.000
Gd  0.500  0.500  0.500
Pt  0.250  0.250  0.250
Pt  0.750  0.750  0.750

## Properties
Calculated density: 12.8 Mg/m³
E_form: -1.116 eV per atom
Size of the total moment: 7.21 μB/f.u.
Energy: -35.4 eV per formula unit
Fermi-level density of states: 3.26 states/eV/cell

=====

# 12
DFT (PBE) results for a relaxed structure of PmGdPt4.

Cell: 5.477 5.477 5.477 Å, 60.00 60.00 60.00°
Atoms (fractional coordinates):
Pm  0.000  0.000  0.000
Gd  0.250  0.250  0.250
Pt  0.126  0.625  0.625
Pt  0.625  0.126  0.625
Pt  0.625  0.625  0.126
Pt  0.625  0.625  0.625

## Properties
Calculated density: 15.5 Mg/m³
E_form: -1.098 eV per atom
Size of the total moment: 7.02 μB/f.u.
Energy: -49.6 eV per formula unit
Fermi-level density of states: 1.28 states/eV/cell

=====

# 13
DFT (PBE) results for a relaxed structure of PmGdSbPt.

Cell: 5.232 5.232 5.232 Å, 60.00 60.00 60.00°
Atoms (fractional coordinates):
Pm  0.000  0.000  0.000
Gd  0.500  0.500  0.500
Sb  0.250  0.250  0.250
Pt  0.750  0.750  0.750

## Properties
Uncorrected formation energy: -909 meV per atom
Calculated density: 10.1 Mg/m³
Size of the total moment: 7.69 μB/f.u.
Energy: -32.6 eV per formula unit
Fermi-level density of states: 4.76 states/eV/cell

=====

# 14
DFT (PBE) results for a relaxed structure of PmGdScPt.

Cell: 5.164 5.164 5.164 Å, 60.00 60.00 60.00°
Atoms (fractional coordinates):
Pm  0.000  0.000  0.000
Gd  0.500  0.500  0.500
Sc  0.750  0.750  0.750
Pt  0.250  0.250  0.250

## Properties
Calculated density: 9.2 Mg/m³
E_form: -0.330 eV per atom
Size of the total moment: 8.02 μB/f.u.
Energy: -32.5 eV per formula unit
Fermi-level density of states: 5.38 states/eV/cell

=====

# 15
DFT (PBE) results for a relaxed structure of PmGdSiPt.

Cell: 5.065 5.065 5.065 Å, 60.00 60.00 60.00°
Atoms (fractional coordinates):
Pm  0.000  0.000  0.000
Gd  0.500  0.500  0.500
Si  0.750  0.750  0.750
Pt  0.250  0.250  0.250

## Properties
Uncorrected formation energy: -791 meV per atom
Calculated density: 9.5 Mg/m³
Size of the total moment: 7.13 μB/f.u.
Energy: -33.5 eV per formula unit
Fermi-level density of states: 1.52 states/eV/cell

=====

# 16
DFT (PBE) results for a relaxed structure of PmGdTlPt.

Cell: 5.243 5.243 5.243 Å, 60.00 60.00 60.00°
Atoms (fractional coordinates):
Pm  0.000  0.000  0.000
Gd  0.500  0.500  0.500
Tl  0.750  0.750  0.750
Pt  0.250  0.250  0.250

## Properties
Calculated density: 11.4 Mg/m³
E_form: -0.647 eV per atom
Size of the total moment: 7.12 μB/f.u.
Energy: -29.8 eV per formula unit
Fermi-level density of states: 3.79 states/eV/cell